Entry from OQMD: crystalline MgFeCoAs at its relaxed geometry (GGA-PBE).

Unit cell a=4.100 b=4.100 c=4.100 alpha=60.00 beta=60.00 gamma=60.00
Atoms (fractional coordinates):
Mg 0.000 0.000 0.000
Fe 0.250 0.250 0.250
Co 0.750 0.750 0.750
As 0.500 0.500 0.500

spin magnetization	0.08	μB per formula unit
relative energy among the computed polymorphs	0	meV per atom
crystal system	cubic